The following is a DFT calculation (GGA-PBEsol) of an optimized crystal structure of LiZr2Mo.

Lattice parameters (Å, degrees): 5.2125 5.2125 5.2125 134.09 134.09 66.95
With the nearest neighbours (Å) after each atom.
Element x y z (fractional)
Li: 0.0000 0.0000 0.0000  8 Zr 2.87-2.98, 4 Mo 2.98
Zr: 0.2500 0.7500 0.5000  4 Mo 2.87, 4 Zr 2.98, 4 Li 2.98
Zr: 0.5000 0.5000 0.0000  4 Li 2.87, 4 Zr 2.98, 4 Mo 2.98
Mo: 0.7500 0.2500 0.5000  8 Zr 2.87-2.98, 4 Li 2.98

## Properties
The formation energy is 0.305 eV per atom. As for the energy above the most stable polymorph in this dataset: 236.0 meV/atom. The calculation puts the density of states at the Fermi level at 3.587 states/eV/f.u. Its space-group type is I-4m2 (119).


The following is a DFT calculation (GGA-PBEsol) of an optimized crystal structure of LiZr2Mo.

Lattice parameters (Å, degrees): 4.6653 4.6653 4.6653 60.00 60.00 60.00
With the nearest neighbours (Å) after each atom.
Element x y z (fractional)
Li: 0.0000 0.0000 0.0000  8 Zr 2.86
Zr: 0.2500 0.2500 0.2500  4 Mo 2.86, 4 Li 2.86
Zr: 0.7500 0.7500 0.7500  4 Mo 2.86, 4 Li 2.86
Mo: 0.5000 0.5000 0.5000  8 Zr 2.86

## Properties
The formation energy is 0.069 eV per atom. As for the energy above the most stable polymorph in this dataset: 0.0 meV/atom. The calculation puts the density of states at the Fermi level at 2.566 states/eV/f.u. Its space-group type is Fm-3m (225).


The following is a DFT calculation (GGA-PBEsol) of an optimized crystal structure of Na3Li3N2.

Lattice parameters (Å, degrees): 3.7606 3.7606 11.5567 90.00 90.00 90.00
With the nearest neighbours (Å) after each atom.
Element x y z (fractional)
Na: 0.0000 0.0000 0.0000  4 Li 2.66
Na: 0.0000 0.0000 0.2902  1 Li 2.42, 2 N 2.44
Na: 0.0000 0.0000 0.7098  1 Li 2.42, 2 N 2.44
Li: 0.0000 0.0000 0.5000  4 N 2.07
Li: 0.5000 0.5000 0.0000  4 Na 2.66
Li: 0.5000 0.5000 0.5000  4 N 2.07
N: 0.0000 0.5000 0.5759  4 Li 2.07
N: 0.5000 0.0000 0.4241  4 Li 2.07

## Properties
The calculation puts the density of states at the Fermi level at 3.236 states/eV/f.u. As for the energy relative to the elements, uncorrected: 0.393 eV/atom. Its space-group type is P-4m2 (115).